## NiBrCl3 (PBE)

Data for a geometry-optimized NiBrCl3 structure.

Calculated values
formation energy without anion corrections: 30 meV per atom

The structure in CIF format:
```
data_NiBrCl3
_cell_length_a 4.6814
_cell_length_b 4.6814
_cell_length_c 4.6814
_cell_angle_alpha 90.00
_cell_angle_beta 90.00
_cell_angle_gamma 90.00
_space_group_name_H-M_alt 'P m -3 m'
_space_group_IT_number 221
_space_group_name_Hall '-P 4 2 3'
loop_
_atom_site_label
_atom_site_fract_x
_atom_site_fract_y
_atom_site_fract_z
Ni1 0.0000 0.0000 0.0000
Br1 0.5000 0.5000 0.5000
Cl1 0.0000 0.0000 0.5000
```


## V3CoIr (PBE)

Data for a geometry-optimized V3CoIr structure.

Calculated values
energy of formation from the pure elements: 3.34 eV/f.u.

The structure in CIF format:
```
data_V3CoIr
_cell_length_a 4.2271
_cell_length_b 4.2271
_cell_length_c 4.2271
_cell_angle_alpha 90.00
_cell_angle_beta 90.00
_cell_angle_gamma 90.00
_space_group_name_H-M_alt 'P m -3 m'
_space_group_IT_number 221
_space_group_name_Hall '-P 4 2 3'
loop_
_atom_site_label
_atom_site_fract_x
_atom_site_fract_y
_atom_site_fract_z
V1 0.0000 0.0000 0.5000
Co1 0.0000 0.0000 0.0000
Ir1 0.5000 0.5000 0.5000
```


| no. | total energy (eV per atom) |
| --- | --- |
| 1 | -2.569 |
| 2 | -7.997 |